This record from the Alexandria database describes a relaxed Rb4PuCl5 crystal. The functional is PBE-GGA.

Cell lengths 7.2650, 8.1021, 8.1021 Å; angles 78.40, 63.36, 63.36 degrees
Each line ends with the local moment (μB).
Atoms (fractional coordinates):
Cl 0.7341 0.1861 0.3617  -0.01
Cl 0.2819 0.8139 0.6383  -0.01
Cl 0.3931 0.0000 0.0000  -0.01
Cl 0.9203 0.3617 0.8139  -0.01
Cl 0.0958 0.6383 0.1861  -0.01
Rb 0.6113 0.6146 0.2001  0.01
Rb 0.4260 0.3854 0.7999  0.01
Rb 0.2259 0.2001 0.3854  0.01
Rb 0.8114 0.7999 0.6146  0.01
Pu 0.0105 0.0000 0.0000  5.89

Properties
calculated total energy: -4.384 eV per atom
magnetization: 0.657 μB/atom
D(E_F): 18.6 states/eV/cell
raw formation energy: -16.4 eV/f.u.
space group: I4 (79)